Material: CaGeSe3
Method: DFT, PBE
State: relaxed

- Energy above the lowest structure with this stoichiometry: 987.1 meV per atom
- E_form (uncorrected): 155 meV per atom
- M_tot: 0.00 μB/f.u.
- Mass density: 3.7 g cm⁻³

The structure in POSCAR format:
```
CaGeSe3
1.0
-2.129 0.167 4.946
-0.861 -5.314 -0.191
4.873 -0.866 2.127
Se Ca Ge
3 1 1
direct
0.000 0.000 0.500
0.500 0.000 0.000
0.000 0.500 0.000
0.000 0.000 0.000
0.500 0.500 0.500
```